[1]
Density functional theory data (PBE) for a relaxed structure of RhBrF2.

Output
The calculated volume comes out at 260.8 Å³/cell. Its crystal system is trigonal. Its uncorrected formation energy is -216 kJ/mol of formula units. For the calculated total energy, the calculation gives -3.752 eV/atom. For the total moment, the calculation gives 3.7 μB per cell.

Cell and atoms, written as CIF:
```
data_RhBrF2
_chemical_formula_sum 'Rh3 Br3 F6'
_cell_length_a 3.3392
_cell_length_b 3.3392
_cell_length_c 27.0061
_cell_angle_alpha 90.00
_cell_angle_beta 90.00
_cell_angle_gamma 120.00
_space_group_name_H-M_alt 'R -3 m'
_space_group_IT_number 166
_space_group_name_Hall '-R 3 2"'
loop_
_atom_site_label
_atom_site_fract_x
_atom_site_fract_y
_atom_site_fract_z
Rh1 0.0000 0.0000 0.0000
Br1 0.0000 0.0000 0.5000
F1 0.0000 0.0000 0.3681
```

=====

[2]
Density functional theory data (PBE) for a relaxed structure of Sm2Zn5Au3.

Output
The calculated volume comes out at 781.4 Å³/cell. Its crystal system is orthorhombic. For the calculated total energy, the calculation gives -3.052 eV/atom. The value obtained for the calculated formation energy is -4.9 eV/f.u. For the total moment, the calculation gives 0.0 μB per cell.

Cell and atoms, written as CIF:
```
data_Sm2Zn5Au3
_chemical_formula_sum 'Sm8 Zn20 Au12'
_cell_length_a 4.5393
_cell_length_b 25.0013
_cell_length_c 6.8854
_cell_angle_alpha 90.00
_cell_angle_beta 90.00
_cell_angle_gamma 90.00
_space_group_name_H-M_alt 'C m c 21'
_space_group_IT_number 36
loop_
_space_group_symop_operation_xyz
'x,y,z'
'-x,-y,z+1/2'
'-x,y,z'
'x,-y,z+1/2'
'x+1/2,y+1/2,z'
'-x+1/2,-y+1/2,z+1/2'
'-x+1/2,y+1/2,z'
'x+1/2,-y+1/2,z+1/2'
loop_
_atom_site_label
_atom_site_fract_x
_atom_site_fract_y
_atom_site_fract_z
Sm1 0.0000 0.0146 0.0000
Sm2 0.0000 0.3249 0.0297
Zn1 0.0000 0.1085 0.3151
Zn2 0.0000 0.2049 0.8530
Zn3 0.0000 0.2078 0.2364
Zn4 0.0000 0.3755 0.4921
Zn5 0.0000 0.4474 0.1936
Au1 0.0000 0.1072 0.7234
Au2 0.0000 0.2704 0.5476
Au3 0.0000 0.4466 0.7877
```

=====

Among the records above, which one has the lowest calculated total energy? RhBrF2